# Pa2TiAu

An optimized crystal structure of Pa2TiAu (GGA-PBE, the Alexandria database).

crystal system = tetragonal
total energy = -7.601 eV per atom
excess energy over the best structure of this formula in the dataset = 0 kJ/mol of formula units
energy of formation from the pure elements = -0.060 eV per atom
total magnetization = 0.000 μB/atom
DOS at the Fermi energy = 7.02 states/eV per cell

abc: 4.830 4.195 4.195
angles: 90.00 90.00 90.00
Sites, in units of the cell vectors:
Ti  0.500  0.000  0.000
Pa  0.000  0.000  0.500
Pa  0.000  0.500  0.000
Au  0.500  0.500  0.500